DFT (PBE-GGA) results for a relaxed Na6LiHg12 crystal.

extended XYZ file:
```
19
Lattice="7.9168 0.1013 -0.7875 -0.8797 7.8684 -0.7875 0.0894 0.1013 7.9554" Properties=species:S:1:pos:R:3 pbc="T T T"
Na 0.7884 2.5074 5.5135
Na 5.3277 2.2366 6.2041
Na 1.3833 6.9783 4.6118
Na 6.3382 5.5637 0.8668
Na 1.7988 5.8344 0.1762
Na 5.7433 1.0928 1.7685
Li 0.0000 0.0000 0.0000
Hg 3.3425 1.7567 3.7117
Hg 1.2409 4.2436 2.9132
Hg 3.8356 3.5343 0.9124
Hg 3.7841 6.3143 2.6686
Hg 5.8857 3.8274 3.4670
Hg 3.2910 4.5367 5.4679
Hg 6.1620 7.8031 3.7382
Hg 2.6422 0.9904 -0.1456
Hg -0.0724 2.7444 0.6677
Hg 0.9646 0.2679 2.6421
Hg 4.4844 7.0807 6.5258
Hg 7.1990 5.3266 5.7126
```

Calculated values
energy of formation	-0.209	eV per atom
energy	-0.92	eV/atom